# 1
Sm6CoIr2I3 | PBE-GGA | relaxed

Unit cell a=7.1494 b=7.1494 c=8.3687 alpha=98.17 beta=98.17 gamma=120.01
Positions (direct):
Sm 0.0604 0.3845 0.1814
Sm 0.2634 0.2634 0.8179
Sm 0.3845 0.0604 0.1814
Sm 0.6155 0.9396 0.8186
Sm 0.7366 0.7366 0.1821
Sm 0.9396 0.6155 0.8186
Co 0.0000 0.0000 0.0000
Ir 0.3334 0.6666 0.0000
Ir 0.6666 0.3334 0.0000
I 0.1667 0.8333 0.5000
I 0.5000 0.5000 0.5000
I 0.8333 0.1667 0.5000

Values from the calculation:
* symmetry: C2/m (12)

***

# 2
KTiP2S | PBE-GGA | relaxed

Unit cell a=5.0389 b=5.0389 c=5.1680 alpha=90.00 beta=90.00 gamma=90.00
Positions (direct):
K 0.0000 0.0000 0.0000
Ti 0.5000 0.5000 0.5000
P 0.0000 0.5000 0.0000
P 0.5000 0.0000 0.0000
S 0.0000 0.0000 0.5000

Values from the calculation:
* symmetry: P4/mmm (123)
* offset from the most stable computed form: 2.0650 eV per atom

***

# 3
TiReB2O | PBE-GGA | relaxed

Unit cell a=3.8093 b=3.8093 c=3.6452 alpha=90.00 beta=90.00 gamma=90.00
Positions (direct):
Ti 0.0000 0.0000 0.0000
Re 0.5000 0.5000 0.0000
B 0.0000 0.5000 0.5000
B 0.5000 0.0000 0.5000
O 0.0000 0.0000 0.5000

Values from the calculation:
* symmetry: P4/mmm (123)

***

no.,calculated total energy (eV per atom)
1,-5.65
2,-3.10
3,-7.35